{"formula": "RbInFeAs2", "functional": "PBE", "state": "relaxed", "formation_energy_ev_per_atom": 0.34, "dos_ef_per_ev_cell": 4.0, "lattice": [[4.783, 0.000, 0.000], [0.000, 4.783, 0.000], [0.000, 0.000, 5.738]], "species": ["Rb", "In", "Fe", "As", "As"], "fractional_positions": [[0.000, 0.000, 0.000], [0.500, 0.500, 0.000], [0.000, 0.000, 0.500], [0.000, 0.500, 0.500], [0.500, 0.000, 0.500]]}

{"formula": "ScInFeAs2", "functional": "PBE", "state": "relaxed", "formation_energy_ev_per_atom": -0.01, "dos_ef_per_ev_cell": 3.3, "lattice": [[4.568, 0.000, 0.000], [0.000, 4.568, 0.000], [0.000, 0.000, 4.871]], "species": ["Sc", "In", "Fe", "As", "As"], "fractional_positions": [[0.000, 0.000, 0.000], [0.500, 0.500, 0.000], [0.000, 0.000, 0.500], [0.000, 0.500, 0.500], [0.500, 0.000, 0.500]]}

Q: Which formula does entry 2 have?
A: ScInFeAs2

Repeat the first record exactly.
{"formula": "RbInFeAs2", "functional": "PBE", "state": "relaxed", "formation_energy_ev_per_atom": 0.34, "dos_ef_per_ev_cell": 4.0, "lattice": [[4.783, 0.000, 0.000], [0.000, 4.783, 0.000], [0.000, 0.000, 5.738]], "species": ["Rb", "In", "Fe", "As", "As"], "fractional_positions": [[0.000, 0.000, 0.000], [0.500, 0.500, 0.000], [0.000, 0.000, 0.500], [0.000, 0.500, 0.500], [0.500, 0.000, 0.500]]}

Q: What is the formula in the second record?
A: ScInFeAs2